# LiYAs2 | the Alexandria database | GGA-PBEsol | optimized geometry
data_LiYAs2
_chemical_formula_sum 'Li1 Y1 As2'
_cell_length_a 3.9547
_cell_length_b 3.9547
_cell_length_c 5.6442
_cell_angle_alpha 90.00
_cell_angle_beta 90.00
_cell_angle_gamma 90.00
_space_group_name_H-M_alt 'P 4 m m'
_space_group_IT_number 99
loop_
_space_group_symop_operation_xyz
'x,y,z'
'-y,x,z'
'-x,-y,z'
'y,-x,z'
'-x,y,z'
'y,x,z'
'x,-y,z'
'-y,-x,z'
loop_
_atom_site_label
_atom_site_type_symbol
_atom_site_fract_x
_atom_site_fract_y
_atom_site_fract_z
Li1 Li 0.0000 0.0000 0.0000
Y1 Y 0.5000 0.5000 0.4391
As1 As 0.0000 0.0000 0.5057
As2 As 0.5000 0.5000 0.9413
# Energy relative to the elements ... -666 meV per atom
# Energy above the most stable polymorph in this dataset ... 130 meV/atom


# Ba2BeMo | the Alexandria database | GGA-PBEsol | optimized geometry
data_Ba2BeMo
_chemical_formula_sum 'Ba8 Be4 Mo4'
_cell_length_a 7.4780
_cell_length_b 7.4780
_cell_length_c 7.4780
_cell_angle_alpha 90.00
_cell_angle_beta 90.00
_cell_angle_gamma 90.00
_space_group_name_H-M_alt 'F -4 3 m'
_space_group_IT_number 216
_space_group_name_Hall 'F -4 2 3'
loop_
_atom_site_label
_atom_site_type_symbol
_atom_site_fract_x
_atom_site_fract_y
_atom_site_fract_z
Ba1 Ba 0.0000 0.0000 0.0000
Ba2 Ba 0.2500 0.2500 0.2500
Be1 Be 0.2500 0.2500 0.7500
Mo1 Mo 0.0000 0.0000 0.5000
# Energy relative to the elements ... 1208 meV per atom


# HgWAu2 | the Alexandria database | GGA-PBEsol | optimized geometry
data_HgWAu2
_chemical_formula_sum 'Hg1 W1 Au2'
_cell_length_a 2.8105
_cell_length_b 4.0774
_cell_length_c 6.0347
_cell_angle_alpha 90.00
_cell_angle_beta 90.00
_cell_angle_gamma 90.00
_space_group_name_H-M_alt 'P m m 2'
_space_group_IT_number 25
loop_
_space_group_symop_operation_xyz
'x,y,z'
'-x,-y,z'
'-x,y,z'
'x,-y,z'
loop_
_atom_site_label
_atom_site_type_symbol
_atom_site_fract_x
_atom_site_fract_y
_atom_site_fract_z
Hg1 Hg 0.0000 0.0000 0.0000
W1 W 0.5000 0.5000 0.2687
Au1 Au 0.0000 0.0000 0.4803
Au2 Au 0.5000 0.5000 0.7408
# Energy relative to the elements ... 468 meV per atom


# TaNiIr2 | the Alexandria database | GGA-PBEsol | optimized geometry
data_TaNiIr2
_chemical_formula_sum 'Ta2 Ni2 Ir4'
_cell_length_a 3.8836
_cell_length_b 3.8836
_cell_length_c 7.4286
_cell_angle_alpha 90.00
_cell_angle_beta 90.00
_cell_angle_gamma 90.00
_space_group_name_H-M_alt 'I 4/m m m'
_space_group_IT_number 139
_space_group_name_Hall '-I 4 2'
loop_
_atom_site_label
_atom_site_type_symbol
_atom_site_fract_x
_atom_site_fract_y
_atom_site_fract_z
Ta1 Ta 0.0000 0.0000 0.0000
Ni1 Ni 0.0000 0.0000 0.5000
Ir1 Ir 0.0000 0.5000 0.2500
# Energy relative to the elements ... -475 meV per atom


# Li3Sc | the Alexandria database | GGA-PBEsol | optimized geometry
data_Li3Sc
_chemical_formula_sum 'Li3 Sc1'
_cell_length_a 3.0968
_cell_length_b 3.0968
_cell_length_c 10.1633
_cell_angle_alpha 90.00
_cell_angle_beta 90.00
_cell_angle_gamma 120.00
_space_group_name_H-M_alt 'P -6 m 2'
_space_group_IT_number 187
_space_group_name_Hall 'P -6 2'
loop_
_atom_site_label
_atom_site_type_symbol
_atom_site_fract_x
_atom_site_fract_y
_atom_site_fract_z
Li1 Li 0.0000 0.0000 0.0000
Li2 Li 0.6667 0.3333 0.2450
Sc1 Sc 0.0000 0.0000 0.5000
# Energy relative to the elements ... 105 meV per atom
# Energy above the most stable polymorph in this dataset ... 1 meV/atom


# Te3OsW | the Alexandria database | GGA-PBEsol | optimized geometry
data_Te3OsW
_chemical_formula_sum 'Te3 Os1 W1'
_cell_length_a 5.0850
_cell_length_b 5.0850
_cell_length_c 5.0850
_cell_angle_alpha 90.00
_cell_angle_beta 90.00
_cell_angle_gamma 90.00
_space_group_name_H-M_alt 'P m -3 m'
_space_group_IT_number 221
_space_group_name_Hall '-P 4 2 3'
loop_
_atom_site_label
_atom_site_type_symbol
_atom_site_fract_x
_atom_site_fract_y
_atom_site_fract_z
Te1 Te 0.0000 0.0000 0.5000
Os1 Os 0.5000 0.5000 0.5000
W1 W 0.0000 0.0000 0.0000
# Energy relative to the elements, uncorrected ... 1.819 eV/atom


# Ba2Cu2Te2P2O13 | the Alexandria database | GGA-PBEsol | optimized geometry
data_Ba2Cu2Te2P2O13
_chemical_formula_sum 'Ba8 Cu8 Te8 P8 O52'
_cell_length_a 17.6072
_cell_length_b 7.3335
_cell_length_c 9.1477
_cell_angle_alpha 90.00
_cell_angle_beta 99.85
_cell_angle_gamma 90.00
_space_group_name_H-M_alt 'C 1 2/c 1'
_space_group_IT_number 15
loop_
_space_group_symop_operation_xyz
'x,y,z'
'-x,-y,-z'
'-x,y,-z+1/2'
'x,-y,z+1/2'
'x+1/2,y+1/2,z'
'-x+1/2,-y+1/2,-z'
'-x+1/2,y+1/2,-z+1/2'
'x+1/2,-y+1/2,z+1/2'
loop_
_atom_site_label
_atom_site_type_symbol
_atom_site_fract_x
_atom_site_fract_y
_atom_site_fract_z
Ba1 Ba 0.1426 0.1288 0.1068
Cu1 Cu 0.0000 0.1970 0.7500
Cu2 Cu 0.2500 0.2500 0.5000
Te1 Te 0.0598 0.3531 0.4291
P1 P 0.1634 0.3354 0.7680
O1 O 0.0000 0.2215 0.2500
O2 O 0.0014 0.2140 0.9598
O3 O 0.1108 0.1669 0.7857
O4 O 0.1146 0.4763 0.6636
O5 O 0.1417 0.1865 0.4311
O6 O 0.1949 0.4153 0.9207
O7 O 0.2328 0.2627 0.7002
# Energy relative to the elements, uncorrected ... -1.859 eV/atom


# K2AsOs | the Alexandria database | GGA-PBEsol | optimized geometry
data_K2AsOs
_chemical_formula_sum 'K8 As4 Os4'
_cell_length_a 6.9527
_cell_length_b 6.9527
_cell_length_c 6.9527
_cell_angle_alpha 90.00
_cell_angle_beta 90.00
_cell_angle_gamma 90.00
_space_group_name_H-M_alt 'F -4 3 m'
_space_group_IT_number 216
_space_group_name_Hall 'F -4 2 3'
loop_
_atom_site_label
_atom_site_type_symbol
_atom_site_fract_x
_atom_site_fract_y
_atom_site_fract_z
K1 K 0.0000 0.0000 0.0000
K2 K 0.2500 0.2500 0.2500
As1 As 0.2500 0.2500 0.7500
Os1 Os 0.0000 0.0000 0.5000
# Energy relative to the elements ... 1051 meV per atom


| no. | magnetic moment (μB/cell) |
| --- | --- |
| 1 | 0.0 |
| 2 | 12.1 |
| 3 | 0.0 |
| 4 | 0.0 |
| 5 | 0.0 |
| 6 | 1.1 |
| 7 | 8.0 |
| 8 | 0.0 |